# 1
Here is an optimized crystal structure of Ba2Li2Tl from Alexandria via LeMat-Bulk. Energies are from PBE-GGA.

Unit cell a=7.837 b=7.837 c=5.578 alpha=90.00 beta=90.00 gamma=90.00
Fractional coordinates of all 10 atoms:
Ba1 0.195 0.305 0.000
Ba2 0.305 0.805 0.000
Ba3 0.695 0.195 0.000
Ba4 0.805 0.695 0.000
Li1 0.130 0.630 0.500
Li2 0.370 0.130 0.500
Li3 0.630 0.870 0.500
Li4 0.870 0.370 0.500
Tl1 0.000 0.000 0.500
Tl2 0.500 0.500 0.500

Results
Symmetry: P4/mbm (127)
Energy of formation in eV per atom: -0.09


# 2
Here is an optimized crystal structure of LiZnIn2 from Alexandria via LeMat-Bulk. Energies are from PBE-GGA.

Unit cell a=4.282 b=4.282 c=5.394 alpha=113.16 beta=113.16 gamma=89.51
Fractional coordinates of all 4 atoms:
Li1 0.000 0.000 0.000
Zn1 0.250 0.750 0.500
In1 0.500 0.500 0.000
In2 0.751 0.249 0.500

Results
Symmetry: C2 (5)
Energy of formation in eV per atom: -0.10


# 3
Here is an optimized crystal structure of Tm2PN from Alexandria via LeMat-Bulk. Energies are from PBE-GGA.

Unit cell a=6.479 b=6.479 c=6.479 alpha=32.56 beta=32.56 gamma=32.56
Fractional coordinates of all 4 atoms:
Tm1 0.239 0.239 0.239
Tm2 0.761 0.761 0.761
P1 0.000 0.000 0.000
N1 0.500 0.500 0.500

Results
Symmetry: R-3m (166)
Uncorrected formation energy in eV per atom: -1.55


# 4
Here is an optimized crystal structure of Nb2Cu2Bi from Alexandria via LeMat-Bulk. Energies are from PBE-GGA.

Unit cell a=7.526 b=7.526 c=7.526 alpha=152.41 beta=152.41 gamma=39.42
Fractional coordinates of all 5 atoms:
Nb1 0.109 0.109 0.000
Nb2 0.891 0.891 0.000
Cu1 0.250 0.750 0.500
Cu2 0.750 0.250 0.500
Bi1 0.500 0.500 0.000

Results
Symmetry: I4/mmm (139)
Energy of formation in eV per atom: 0.42


# 5
Here is an optimized crystal structure of InCuIr2 from Alexandria via LeMat-Bulk. Energies are from PBE-GGA.

Unit cell a=2.833 b=3.804 c=5.745 alpha=90.00 beta=90.00 gamma=90.00
Fractional coordinates of all 4 atoms:
In1 0.000 0.000 0.000
Cu1 0.500 0.500 0.735
Ir1 0.000 0.000 0.514
Ir2 0.500 0.500 0.276

Results
Symmetry: Pmm2 (25)
Energy of formation in eV per atom: 0.12


# 6
Here is an optimized crystal structure of SrYCu3Se4 from Alexandria via LeMat-Bulk. Energies are from PBE-GGA.

Unit cell a=6.319 b=6.319 c=6.319 alpha=90.00 beta=90.00 gamma=90.00
Fractional coordinates of all 9 atoms:
Sr1 0.000 0.000 0.000
Y1 0.500 0.500 0.500
Cu1 0.000 0.500 0.500
Cu2 0.500 0.000 0.500
Cu3 0.500 0.500 0.000
Se1 0.262 0.262 0.738
Se2 0.262 0.738 0.262
Se3 0.738 0.262 0.262
Se4 0.738 0.738 0.738

Results
Symmetry: P-43m (215)
Uncorrected formation energy in eV per atom: -0.80


| no. | calculated total energy (eV per atom) |
| --- | --- |
| 1 | -2.102 |
| 2 | -2.264 |
| 3 | -7.221 |
| 4 | -6.020 |
| 5 | -6.019 |
| 6 | -4.616 |